A relaxed structure of BaMg2TlPt. Source: Alexandria, functional GGA-PBE.

Crystal system ... tetragonal
M_tot ... 0.00 μB per cell

Cell lengths 5.1688, 5.1688, 5.3644 Å; angles 90.00, 90.00, 90.00 degrees
Positions (direct):
Ba  0.0000  0.0000  0.0000
Mg  0.0000  0.5000  0.5000
Mg  0.5000  0.0000  0.5000
Tl  0.5000  0.5000  0.0000
Pt  0.5000  0.5000  0.5000



A relaxed structure of BaMgV2Pt. Source: Alexandria, functional GGA-PBE.

Crystal system ... tetragonal
M_tot ... 5.93 μB per cell

Cell lengths 5.1293, 5.1293, 5.3606 Å; angles 90.00, 90.00, 90.00 degrees
Positions (direct):
Ba  0.0000  0.0000  0.0000
Mg  0.5000  0.5000  0.5000
V  0.0000  0.5000  0.0000
V  0.5000  0.0000  0.0000
Pt  0.0000  0.0000  0.5000



A relaxed structure of Ba2MgZn3Pt4. Source: Alexandria, functional GGA-PBE.

Crystal system ... tetragonal
M_tot ... 0.00 μB per cell

Cell lengths 4.4146, 4.4146, 11.0745 Å; angles 90.00, 90.00, 90.00 degrees
Positions (direct):
Ba  0.0000  0.5000  0.2405
Ba  0.5000  0.0000  0.7595
Mg  0.0000  0.0000  0.5000
Zn  0.0000  0.5000  0.8764
Zn  0.5000  0.0000  0.1236
Zn  0.5000  0.5000  0.5000
Pt  0.0000  0.0000  0.0000
Pt  0.0000  0.5000  0.6374
Pt  0.5000  0.0000  0.3626
Pt  0.5000  0.5000  0.0000



A relaxed structure of Ba2MgZnPt. Source: Alexandria, functional GGA-PBE.

Crystal system ... tetragonal
Energy relative to the lowest polymorph listed for this composition ... 0.019 eV/atom
M_tot ... 0.00 μB per cell

Cell lengths 6.1643, 6.1643, 4.9710 Å; angles 90.00, 90.00, 90.00 degrees
Positions (direct):
Ba  0.0000  0.5000  0.0000
Ba  0.5000  0.0000  0.0000
Mg  0.0000  0.0000  0.5000
Zn  0.5000  0.5000  0.5000
Pt  0.5000  0.5000  0.0000



A relaxed structure of Ba2MgZnPt. Source: Alexandria, functional GGA-PBE.

Crystal system ... tetragonal
Energy relative to the lowest polymorph listed for this composition ... 0.000 eV/atom
M_tot ... 0.00 μB per cell

Cell lengths 6.1330, 6.1330, 5.1207 Å; angles 90.00, 90.00, 90.00 degrees
Positions (direct):
Ba  0.0000  0.5000  0.0000
Ba  0.5000  0.0000  0.0000
Mg  0.0000  0.0000  0.5000
Zn  0.5000  0.5000  0.5000
Pt  0.0000  0.0000  0.0000



A relaxed structure of BaMg2ZnPt. Source: Alexandria, functional GGA-PBE.

Crystal system ... tetragonal
M_tot ... 0.00 μB per cell

Cell lengths 5.1140, 5.1140, 5.0462 Å; angles 90.00, 90.00, 90.00 degrees
Positions (direct):
Ba  0.0000  0.0000  0.0000
Mg  0.0000  0.5000  0.5000
Mg  0.5000  0.0000  0.5000
Zn  0.5000  0.5000  0.0000
Pt  0.5000  0.5000  0.5000



Formation enthalpy at 0 K values (in meV per atom) by entry order: -393, 1924, -655, -311, -330, -430.
Electronic total energy values (in eV/atom) by entry order: -3.097, -3.635, -3.997, -2.862, -2.881, -2.916.
Density of states at the Fermi level values (in states/eV per atom) by entry order: 0.70, 1.27, 0.41, 0.77, 0.55, 0.86.